Entry 1:
Here is a relaxed structure of YMn2Cr from the Alexandria database. Energies are from PBE.

```
8
Lattice="4.153 0.000 0.000 0.000 4.153 0.000 0.000 0.000 8.407" Properties=species:S:1:pos:R:3 pbc="T T T"
Y 0.000 0.000 0.000
Y 2.077 2.077 4.204
Mn 0.000 2.077 2.102
Mn 0.000 2.077 6.306
Mn 2.077 0.000 2.102
Mn 2.077 0.000 6.306
Cr 0.000 0.000 4.204
Cr 2.077 2.077 0.000
```

## Properties
* ΔH_f (0 K): 0.60 eV per atom
* magnetic moment: 2.57 μB per atom
* energy: -8.00 eV per atom
* symmetry: No. 139

---

Entry 2:
Here is a relaxed structure of Tl7Cd2Sn2 from the Alexandria database. Energies are from PBE.

```
11
Lattice="4.680 -5.664 0.000 4.680 5.664 0.000 -2.220 0.000 6.312" Properties=species:S:1:pos:R:3 pbc="T T T"
Tl 0.000 0.000 0.000
Tl 1.261 2.859 5.051
Tl 0.517 0.000 3.466
Tl 5.880 2.859 1.261
Tl 1.261 -2.859 5.051
Tl 6.624 0.000 2.846
Tl 5.880 -2.859 1.261
Cd 3.248 0.000 0.464
Cd 3.893 0.000 5.848
Sn 3.570 1.560 3.156
Sn 3.570 -1.560 3.156
```

## Properties
* ΔH_f (0 K): 0.05 eV per atom
* magnetic moment: 0.00 μB per atom
* energy: -2.35 eV per atom
* symmetry: No. 12

---

Entry 3:
Here is a relaxed structure of CaNd2Si6 from the Alexandria database. Energies are from PBE.

```
9
Lattice="7.133 0.000 0.000 -3.567 6.178 0.000 0.000 0.000 4.204" Properties=species:S:1:pos:R:3 pbc="T T T"
Ca 0.000 0.000 0.000
Nd 0.000 4.118 0.000
Nd 3.567 2.059 0.000
Si -1.190 2.060 2.102
Si -2.377 4.117 2.102
Si 2.379 0.000 2.102
Si 1.190 2.060 2.102
Si 4.754 0.000 2.102
Si 2.377 4.117 2.102
```

## Properties
* formation energy without anion corrections: -0.48 eV per atom
* magnetic moment: 0.00 μB per atom
* energy: -5.38 eV per atom
* symmetry: No. 191

---

Entry 4:
Here is a relaxed structure of SrPm3Rh2 from the Alexandria database. Energies are from PBE.

```
12
Lattice="7.980 -2.673 0.000 7.980 2.673 0.000 -2.965 0.000 8.632" Properties=species:S:1:pos:R:3 pbc="T T T"
Sr 2.123 0.000 0.168
Sr 10.873 0.000 8.464
Pm -0.255 0.000 2.932
Pm 2.882 0.000 5.559
Pm 5.365 0.000 2.710
Pm 7.631 0.000 5.922
Pm 10.114 0.000 3.074
Pm 13.251 0.000 5.700
Rh 0.149 0.000 5.780
Rh 5.038 0.000 7.287
Rh 7.958 0.000 1.345
Rh 12.847 0.000 2.852
```

## Properties
* ΔH_f (0 K): -0.35 eV per atom
* magnetic moment: 0.00 μB per atom
* energy: -5.46 eV per atom
* symmetry: No. 12